A plane-wave DFT calculation with PBE-GGA was carried out for a geometry-optimized BaCoCu structure.

## Properties
Energy above the most stable polymorph in this dataset, kJ/mol of formula units: 42.0
D(E_F), states/eV/cell: 10.94

Unit cell a=3.4583 b=3.4583 c=10.8245 alpha=90.00 beta=90.00 gamma=90.00
Closest atoms and distances in Å follow each position.
Space group I4mm (No. 107)
Unique sites:
1 Ba 0.0000 0.0000 0.0000 x2  1 Co 2.98, 1 Cu 3.00
2 Co 0.0000 0.0000 0.2751 x2  4 Cu 2.51
3 Cu 0.0000 0.0000 0.7227 x2  4 Co 2.51